Here is an optimized crystal structure of Y2CdPb from Alexandria. Energies are from GGA-PBE.

Computed properties:
**Calculated volume**: 34.72 Å³/atom
**D(E_F)**: 6.1 states/eV/f.u.
**Space-group type**: No. 71
**Energy relative to the elements**: 1.20 eV/f.u.

Cell: 8.806 8.806 8.806 Å, 38.63 155.45 150.65°
Positions (direct):
Y 0.000 0.314 0.314
Y 0.000 0.686 0.686
Cd 0.000 0.000 0.000
Pb 0.000 0.500 0.500

Here is an optimized crystal structure of YCdPb3 from Alexandria. Energies are from GGA-PBE.

Computed properties:
**Calculated volume**: 35.02 Å³/atom
**D(E_F)**: 3.3 states/eV/f.u.
**Space-group type**: No. 221
**Energy relative to the elements**: 1.85 eV/f.u.

Cell: 5.594 5.594 5.594 Å, 90.00 90.00 90.00°
Positions (direct):
Pb 0.000 0.500 0.000
Pb 0.000 0.000 0.500
Pb 0.500 0.000 0.000
Y 0.500 0.500 0.500
Cd 0.000 0.000 0.000

Here is an optimized crystal structure of Y2Cd2Pb from Alexandria. Energies are from GGA-PBE.

Computed properties:
**Calculated volume**: 30.66 Å³/atom
**D(E_F)**: 4.2 states/eV/f.u.
**Space-group type**: No. 139
**Energy relative to the elements**: 0.19 eV/f.u.

Cell: 4.910 4.910 7.246 Å, 70.20 70.20 90.00°
Each line ends with the local moment (μB).
Positions (direct):
Pb 0.000 0.000 0.000  0.00
Y 0.750 0.250 0.500  0.17
Y 0.250 0.750 0.500  0.17
Cd 0.396 0.396 0.208  0.00
Cd 0.604 0.604 0.792  0.00